First-principles (PBE) data for PmGdFePd after structural relaxation, as listed in the Alexandria database.

Cell and atoms, written as POSCAR:
```
PmGdFePd
1.0
4.964 0.000 0.000
2.482 4.299 0.000
2.482 1.433 4.053
Gd Fe Pd Pm
1 1 1 1
direct
0.750 0.750 0.750
0.500 0.500 0.500
0.000 0.000 0.000
0.250 0.250 0.250
```

Values from the calculation:
E (eV/atom): -8.36
Calculated formation energy (eV/atom): -0.239
Space-group type: F-43m (216)

---

First-principles (PBE) data for Ge19As4I4 after structural relaxation, as listed in the Alexandria database.

Cell and atoms, written as POSCAR:
```
Ge19As4I4
1.0
-10.085 1.659 -3.561
-3.127 -9.329 4.509
-2.378 5.230 9.172
Ge As I
38 8 8
direct
0.003 0.117 0.310
0.497 0.810 0.383
0.497 0.190 0.617
0.190 0.383 0.503
0.810 0.383 0.497
0.617 0.497 0.190
0.383 0.503 0.190
0.310 0.003 0.117
0.117 0.310 0.003
0.883 0.690 0.003
0.310 0.997 0.883
0.883 0.310 0.997
0.690 0.997 0.117
0.690 0.003 0.883
0.117 0.690 0.997
0.003 0.883 0.690
0.997 0.117 0.690
0.997 0.883 0.310
0.383 0.497 0.810
0.617 0.503 0.810
0.190 0.617 0.497
0.810 0.617 0.503
0.503 0.190 0.383
0.503 0.810 0.617
0.182 0.182 0.182
0.318 0.682 0.318
0.318 0.318 0.682
0.682 0.318 0.318
0.818 0.818 0.182
0.182 0.818 0.818
0.818 0.182 0.818
0.682 0.682 0.682
0.000 0.250 0.500
0.500 0.000 0.250
0.500 0.000 0.750
0.750 0.500 0.000
0.250 0.500 0.000
0.000 0.750 0.500
0.816 0.816 0.816
0.684 0.316 0.684
0.684 0.684 0.316
0.316 0.684 0.684
0.184 0.184 0.816
0.816 0.184 0.184
0.184 0.816 0.184
0.316 0.316 0.316
0.000 0.500 0.250
0.500 0.750 0.000
0.500 0.250 0.000
0.250 0.000 0.500
0.750 0.000 0.500
0.000 0.500 0.750
0.000 0.000 0.000
0.500 0.500 0.500
```

Values from the calculation:
E (eV/atom): -4.26
Energy relative to the elements, uncorrected (eV/atom): -0.088
Space-group type: P-43n (218)

---

Q: Which formula does entry 1 have?
A: PmGdFePd

---

Q: The lowest E belongs to which entry?
A: PmGdFePd

---

Q: Look up the E of the second one.
A: -4.26 eV/atom

---

Q: Number 2 is which compound?
A: Ge19As4I4